Entry 1:
A PBEsol-optimized structure of La2CuAg, computed with meta-GGA SCAN.

Lattice parameters (Å, degrees): 6.181 6.181 6.181 145.58 134.71 58.09
Element x y z (fractional)
La  0.000  0.000  0.000
La  0.690  0.190  0.500
Cu  0.447  0.447  0.000
Ag  0.274  0.774  0.500

Summary:
For the uncorrected energy, the calculation gives -33.34 eV/atom. The space-group type is Imm2 (44). The energy above the most stable polymorph in this dataset comes out at 0.086 eV/atom. The calculation puts the theoretical density at 7.93 g cm⁻³.

---

Entry 2:
A PBEsol-optimized structure of LaCuAg2, computed with meta-GGA SCAN.

Lattice parameters (Å, degrees): 5.140 5.140 5.140 128.03 128.03 76.58
Element x y z (fractional)
La  0.000  0.000  0.000
Cu  0.500  0.500  0.000
Ag  0.250  0.750  0.500
Ag  0.750  0.250  0.500

Summary:
For the uncorrected energy, the calculation gives -30.27 eV/atom. The space-group type is I4/mmm (139). The calculation puts the theoretical density at 8.48 g cm⁻³.

---

no.,formation energy from the elements (eV per atom)
1,-0.144
2,-0.013